Compound: TiCuP2N
Source: Alexandria via LeMat-Bulk
Functional: PBE
Structure: relaxed

Magnetic moment, μB/cell: 0.00
Final energy, eV/cell: -29.357
Energy relative to the elements, uncorrected, kJ/mol of formula units: 172

Cell: 4.2257 4.2257 3.6336 Å, 90.00 90.00 90.00°
Closest atoms and distances in Å follow each position.
Positions (direct):
Ti (0.0000, 0.0000, 0.0000)  8 P 2.79, 4 Cu 2.99
Cu (0.5000, 0.5000, 0.0000)  2 N 1.82
P (0.0000, 0.5000, 0.5000)  2 N 2.11
P (0.5000, 0.0000, 0.5000)  2 N 2.11
N (0.5000, 0.5000, 0.5000)  2 Cu 1.82